An optimized crystal structure of Y5HoTm, computed with PBE.

abc: 9.6084 6.4841 11.7926
angles: 74.38 90.00 137.81
Closest atoms and distances in Å follow each position.
Fractional positions:
Y (0.9736, 0.5843, 0.8354)  6 Y 3.36-3.68, 2 Ho 3.45-3.57, 1 Tm 3.59
Y (0.5332, 0.7686, 0.0357)  7 Y 3.29-3.68, 2 Ho 3.37-3.44, 1 Tm 3.50
Y (0.3893, 0.4157, 0.6646)  6 Y 3.36-3.68, 2 Ho 3.45-3.57, 1 Tm 3.59
Y (0.8418, 0.0000, 0.7500)  8 Y 3.29-3.67, 2 Tm 3.32, 1 Ho 3.33
Y (0.1582, 0.0000, 0.2500)  8 Y 3.29-3.67, 2 Tm 3.32, 1 Ho 3.33
Y (0.0264, 0.4157, 0.1646)  6 Y 3.36-3.68, 2 Ho 3.45-3.57, 1 Tm 3.59
Y (0.7646, 0.2314, 0.4643)  7 Y 3.29-3.68, 2 Ho 3.37-3.44, 1 Tm 3.50
Y (0.2354, 0.7686, 0.5357)  7 Y 3.29-3.68, 2 Ho 3.37-3.44, 1 Tm 3.50
Y (0.6107, 0.5843, 0.3354)  6 Y 3.36-3.68, 2 Ho 3.45-3.57, 1 Tm 3.59
Y (0.4668, 0.2314, 0.9643)  7 Y 3.29-3.68, 2 Ho 3.37-3.44, 1 Tm 3.50
Tm (0.0000, 0.0000, 0.0000)  6 Y 3.32-3.59
Tm (0.0000, 0.0000, 0.5000)  6 Y 3.32-3.59
Ho (0.5050, 0.0000, 0.2500)  9 Y 3.33-3.57
Ho (0.4950, 0.0000, 0.7500)  9 Y 3.33-3.57

Summary:
Calculated formation energy ... 0.127 eV per atom
Spin magnetization ... 0.00 μB/f.u.
D(E_F) ... 13.35 states/eV/f.u.
Density ... 5.719 g/cm3